No. 1
Computed, not measured: a relaxed structure of Ce7PuIr3 at the PBE level of DFT.

The crystal system is orthorhombic.

The space group is C222_1 (No. 20) and the conventional cell measures 9.3947, 13.3564 and 9.2719 Å, with angles of 90.00, 90.00 and 90.00 degrees. The inequivalent atoms are Ce at (0.0000, 0.0713, 0.2500), Ce at (0.0000, 0.3599, 0.2500), Ce at (0.0000, 0.3744, 0.7500), Ce at (0.1912, 0.1225, 0.5380), Ce at (0.1920, 0.1226, 0.9630), Pu at (0.0004, 0.0000, 0.0000), Ir at (0.0001, 0.5000, 0.0000) and Ir at (0.2339, 0.2332, 0.2503).

=====

No. 2
Computed, not measured: a relaxed structure of Ce5PuIr3 at the PBE level of DFT.

The crystal system is monoclinic.

The space group is C2/m (No. 12) and the conventional cell measures 12.5612, 9.3487 and 10.1785 Å, with angles of 90.00, 113.23 and 90.00 degrees. The inequivalent atoms are Ce at (0.0000, 0.1998, 0.0000), Ce at (0.0624, 0.0000, 0.3650), Ce at (0.1686, 0.3012, 0.6626), Ce at (0.2322, 0.5000, 0.0355), Pu at (0.0972, 0.5000, 0.2984), Ir at (0.0000, 0.5000, 0.0000), Ir at (0.0000, 0.5000, 0.5000), Ir at (0.1664, 0.0000, 0.1664) and Ir at (0.1673, 0.0000, 0.6644).

=====

No. 3
Computed, not measured: a relaxed structure of CePuIr2 at the PBE level of DFT.

The crystal system is monoclinic.

The space group is P2_1/c (No. 14) and the conventional cell measures 8.3813, 5.6102 and 7.3884 Å, with angles of 90.00, 90.10 and 90.00 degrees. The inequivalent atoms are Ce at (0.1270, 0.1525, 0.1752), Pu at (0.3776, 0.6522, 0.3264), Ir at (0.1270, 0.6651, 0.0569) and Ir at (0.3773, 0.1647, 0.4424).

=====

No. 4
Computed, not measured: a relaxed structure of Ce2PuIr at the PBE level of DFT.

The crystal system is monoclinic. For the distance to the lowest polymorph of the same formula, the calculation gives 0.000 eV/atom.

The space group is P2_1/m (No. 11) and the conventional cell measures 3.7502, 9.2145 and 5.5862 Å, with angles of 90.00, 99.42 and 90.00 degrees. The inequivalent atoms are Ce at (0.1988, 0.0602, 0.2270), Pu at (0.3593, 0.2500, 0.8611) and Ir at (0.2459, 0.7500, 0.5066).

=====

No. 5
Computed, not measured: a relaxed structure of Ce2PuIr at the PBE level of DFT.

The crystal system is trigonal. For the distance to the lowest polymorph of the same formula, the calculation gives 0.118 eV/atom.

The space group is R3m (No. 160, hexagonal axes) and the conventional cell measures 4.0115, 4.0115 and 23.0023 Å, with angles of 90.00, 90.00 and 120.00 degrees. The inequivalent atoms are Ce at (0.0000, 0.0000, 0.0000), Ce at (0.0000, 0.0000, 0.1953), Pu at (0.0000, 0.0000, 0.7488) and Ir at (0.0000, 0.0000, 0.5984).

=====

No. 6
Computed, not measured: a relaxed structure of Ce8PuIr2 at the PBE level of DFT.

The crystal system is monoclinic. For the distance to the lowest polymorph of the same formula, the calculation gives 0.000 eV/atom.

The space group is C2/m (No. 12) and the conventional cell measures 11.7497, 8.6990 and 6.2581 Å, with angles of 90.00, 106.76 and 90.00 degrees. The inequivalent atoms are Ce at (0.0883, 0.0000, 0.2930), Ce at (0.1314, 0.3034, 0.7381), Ce at (0.1313, 0.5000, 0.2538), Pu at (0.0000, 0.5000, 0.5000) and Ir at (0.1695, 0.0000, 0.9174).

=====

No. 7
Computed, not measured: a relaxed structure of Ce3PuIr at the PBE level of DFT.

The crystal system is monoclinic.

The space group is P2_1/c (No. 14) and the conventional cell measures 7.1074, 6.1336 and 10.6599 Å, with angles of 90.00, 96.74 and 90.00 degrees. The inequivalent atoms are Ce at (0.1476, 0.0439, 0.2742), Ce at (0.2411, 0.5797, 0.4268), Ce at (0.3465, 0.1343, 0.6018), Pu at (0.0268, 0.1789, 0.4762) and Ir at (0.4417, 0.6847, 0.6554).

=====

No. 8
Computed, not measured: a relaxed structure of CePuIr2 at the PBE level of DFT.

The crystal system is monoclinic.

The space group is P2/c (No. 13) and the conventional cell measures 5.6022, 5.6194 and 11.3430 Å, with angles of 90.00, 104.07 and 90.00 degrees. The inequivalent atoms are Ce at (0.1953, 0.1255, 0.1401), Pu at (0.3049, 0.3738, 0.8606), Ir at (0.1727, 0.3757, 0.5952) and Ir at (0.3282, 0.1257, 0.4057).

=====

No. 9
Computed, not measured: a relaxed structure of Ce2PuIr2 at the PBE level of DFT.

The crystal system is monoclinic. For the distance to the lowest polymorph of the same formula, the calculation gives 0.011 eV/atom.

The space group is P2_1/c (No. 14) and the conventional cell measures 8.5401, 8.0281 and 7.0313 Å, with angles of 90.00, 109.19 and 90.00 degrees. The inequivalent atoms are Ce at (0.0573, 0.1959, 0.0322), Ce at (0.2818, 0.5937, 0.2815), Pu at (0.4296, 0.2090, 0.4848), Ir at (0.1016, 0.5200, 0.8650) and Ir at (0.3473, 0.5375, 0.6868).

=====

No. 10
Computed, not measured: a relaxed structure of CePu2Ir2 at the PBE level of DFT.

The crystal system is orthorhombic. For the distance to the lowest polymorph of the same formula, the calculation gives 0.000 eV/atom.

The space group is Cmc2_1 (No. 36) and the conventional cell measures 4.2107, 19.2317 and 5.7035 Å, with angles of 90.00, 90.00 and 90.00 degrees. The inequivalent atoms are Ce at (0.0000, 0.1243, 0.0000), Pu at (0.0000, 0.3163, 0.9972), Pu at (0.0000, 0.4978, 0.2498), Ir at (0.0000, 0.0802, 0.4967) and Ir at (0.0000, 0.2824, 0.4973).

=====

Record-wise DOS at the Fermi energy values, in states/eV/f.u.: 23.3, 38.1, 10.9, 8.3, 8.4, 28.2, 10.5, 9.4, 11.1, 13.5
Record-wise DFT total energy values, in eV/atom: -7.873, -8.207, -10.110, -9.084, -8.966, -7.547, -8.379, -10.146, -9.354, -10.904
Record-wise ΔE_f values, in eV per atom: -0.377, -0.365, -0.613, -0.319, -0.201, -0.318, -0.180, -0.649, -0.570, -0.440